Entry P
Compound: BaHfMo
Source: OQMD
Functional: PBE
Structure: optimized geometry

Calculated volume = 82.0 Å³/cell

Unit cell a=4.877 b=4.877 c=4.877 alpha=60.00 beta=60.00 gamma=60.00
Fractional coordinates of all 3 atoms:
Ba  0.000  0.000  0.000
Hf  0.250  0.250  0.250
Mo  0.750  0.750  0.750

Entry Q
Compound: BaHfMo
Source: OQMD
Functional: PBE
Structure: optimized geometry

Calculated volume = 81.3 Å³/cell

Unit cell a=4.862 b=4.862 c=4.862 alpha=60.00 beta=60.00 gamma=60.00
Fractional coordinates of all 3 atoms:
Ba  0.250  0.250  0.250
Hf  0.750  0.750  0.750
Mo  0.000  0.000  0.000

On energetic grounds, entry Q is preferred over the next structure by 95.3 kJ/mol of atoms.

Entry P
Compound: BaHfNO
Source: OQMD
Functional: PBE
Structure: optimized geometry

Calculated volume = 189.1 Å³/cell

Unit cell a=4.288 b=4.288 c=10.285 alpha=90.00 beta=90.00 gamma=90.00
Fractional coordinates of all 8 atoms:
Ba  0.750  0.750  0.876
Hf  0.750  0.250  0.500
Hf  0.250  0.750  0.500
N  0.750  0.750  0.469
N  0.250  0.250  0.531
O  0.750  0.250  0.000
O  0.250  0.750  0.000
Ba  0.250  0.250  0.124

Entry Q
Compound: BaHfNO
Source: OQMD
Functional: PBE
Structure: optimized geometry

Calculated volume = 160.9 Å³/cell

Unit cell a=3.733 b=6.024 c=7.155 alpha=90.00 beta=90.00 gamma=90.00
Fractional coordinates of all 8 atoms:
Ba  0.000  0.478  0.345
Ba  0.000  0.978  0.655
Hf  0.500  0.995  0.160
Hf  0.500  0.495  0.840
N  0.000  0.964  0.277
N  0.000  0.464  0.723
O  0.500  0.316  0.078
O  0.500  0.816  0.922

On energetic grounds, entry Q is preferred over the next structure by 33.3 kJ/mol of atoms.

Entry P
Compound: BaHfNO
Source: OQMD
Functional: PBE
Structure: optimized geometry

Calculated volume = 188.6 Å³/cell

Unit cell a=4.295 b=4.295 c=10.223 alpha=90.00 beta=90.00 gamma=90.00
Fractional coordinates of all 8 atoms:
Ba  0.250  0.250  0.124
Ba  0.750  0.750  0.876
Hf  0.750  0.250  0.500
Hf  0.250  0.750  0.500
N  0.750  0.750  0.472
N  0.250  0.250  0.528
O  0.750  0.250  0.000
O  0.250  0.750  0.000

Entry Q
Compound: BaHfNO
Source: OQMD
Functional: PBE
Structure: optimized geometry

Calculated volume = 145.9 Å³/cell

Unit cell a=4.602 b=4.602 c=6.889 alpha=90.00 beta=90.00 gamma=90.00
Fractional coordinates of all 8 atoms:
Ba  0.000  0.000  0.500
Ba  0.500  0.500  0.500
Hf  0.500  0.000  0.038
Hf  0.000  0.500  0.962
N  0.500  0.000  0.314
N  0.000  0.500  0.686
O  0.000  0.000  0.000
O  0.500  0.500  0.000

On energetic grounds, entry P is preferred over the next structure by 4.9 kJ/mol of atoms.

Entry P
Compound: BaHfNO
Source: OQMD
Functional: PBE
Structure: optimized geometry

Calculated volume = 308.0 Å³/cell

Unit cell a=5.689 b=6.736 c=8.038 alpha=90.00 beta=90.00 gamma=90.00
Fractional coordinates of all 16 atoms:
Ba  0.023  0.562  0.361
Ba  0.523  0.938  0.361
Ba  0.023  0.062  0.639
Ba  0.523  0.438  0.639
Hf  0.014  0.096  0.109
Hf  0.514  0.404  0.109
Hf  0.014  0.596  0.891
Hf  0.514  0.904  0.891
N  0.660  0.115  0.050
N  0.160  0.385  0.050
N  0.660  0.615  0.950
N  0.160  0.885  0.950
O  0.505  0.555  0.323
O  0.005  0.945  0.323
O  0.505  0.055  0.677
O  0.005  0.445  0.677

Entry Q
Compound: BaHfNO
Source: OQMD
Functional: PBE
Structure: optimized geometry

Calculated volume = 154.3 Å³/cell

Unit cell a=3.991 b=6.159 c=6.277 alpha=90.00 beta=90.00 gamma=90.00
Fractional coordinates of all 8 atoms:
Ba  0.500  0.001  0.235
Ba  0.500  0.501  0.765
Hf  0.000  0.501  0.292
Hf  0.000  0.001  0.708
N  0.000  0.251  0.500
N  0.000  0.751  0.500
O  0.500  0.502  0.198
O  0.500  0.002  0.802

On energetic grounds, entry Q is preferred over the next structure by 5.4 kJ/mol of atoms.

Entry P
Compound: BaNaHf
Source: OQMD
Functional: PBE
Structure: optimized geometry

Calculated volume = 107.4 Å³/cell

Unit cell a=5.335 b=5.335 c=5.335 alpha=60.00 beta=60.00 gamma=60.00
Fractional coordinates of all 3 atoms:
Ba  0.000  0.000  0.000
Hf  0.250  0.250  0.250
Na  0.750  0.750  0.750

Entry Q
Compound: BaNaHf
Source: OQMD
Functional: PBE
Structure: optimized geometry

Calculated volume = 111.2 Å³/cell

Unit cell a=5.397 b=5.397 c=5.397 alpha=60.00 beta=60.00 gamma=60.00
Fractional coordinates of all 3 atoms:
Ba  0.250  0.250  0.250
Hf  0.000  0.000  0.000
Na  0.750  0.750  0.750

On energetic grounds, entry Q is preferred over the next structure by 13.2 kJ/mol of atoms.

Entry P
Compound: BaHfNi
Source: OQMD
Functional: PBE
Structure: optimized geometry

Calculated volume = 82.4 Å³/cell

Unit cell a=4.883 b=4.883 c=4.883 alpha=60.00 beta=60.00 gamma=60.00
Fractional coordinates of all 3 atoms:
Ba  0.250  0.250  0.250
Hf  0.750  0.750  0.750
Ni  0.000  0.000  0.000

Entry Q
Compound: BaHfNi
Source: OQMD
Functional: PBE
Structure: optimized geometry

Calculated volume = 78.5 Å³/cell

Unit cell a=4.805 b=4.805 c=4.805 alpha=60.00 beta=60.00 gamma=60.00
Fractional coordinates of all 3 atoms:
Ba  0.000  0.000  0.000
Hf  0.250  0.250  0.250
Ni  0.750  0.750  0.750

On energetic grounds, entry P is preferred over the next structure by 76.0 kJ/mol of atoms.